# 1
Entry from Alexandria: crystalline CaIrPb at its relaxed geometry (PBE-GGA).

The structure in POSCAR format:
```
CaIrPb
1.0
4.804 0.000 0.000
2.402 4.160 0.000
2.402 1.387 3.922
Pb Ca Ir
1 1 1
Direct
0.500 0.500 0.500 Pb
0.750 0.750 0.750 Ca
0.000 0.000 0.000 Ir
```

Results
- Total DFT energy (no corrections): -12.99 eV/cell
- Calculated volume: 78.4 Å³/f.u.

***

# 2
Entry from Alexandria: crystalline PmAlNi3 at its relaxed geometry (PBE-GGA).

The structure in POSCAR format:
```
PmAlNi3
1.0
4.970 0.000 0.000
0.000 8.130 0.000
-2.485 -4.065 4.132
Pm Al Ni
2 2 6
Direct
0.250 0.302 0.500 Pm
0.750 0.698 0.500 Pm
0.000 0.500 0.000 Al
0.500 0.000 0.000 Al
0.735 0.235 0.971 Ni
0.235 0.235 0.971 Ni
0.765 0.765 0.029 Ni
0.265 0.765 0.029 Ni
0.250 0.921 0.500 Ni
0.750 0.079 0.500 Ni
```

Results
- Total DFT energy (no corrections): -55.48 eV/cell
- Calculated volume: 83.5 Å³/f.u.

***

# 3
Entry from Alexandria: crystalline Pr2Er2Ag at its relaxed geometry (PBE-GGA).

The structure in POSCAR format:
```
Pr2Er2Ag
1.0
-2.926 -2.134 0.159
0.771 -1.303 -3.294
7.372 -6.556 6.312
Pr Er Ag
2 2 1
Direct
0.809 0.809 0.618 Pr
0.191 0.191 0.382 Pr
0.579 0.579 0.157 Er
0.421 0.421 0.843 Er
0.000 0.000 0.000 Ag
```

Results
- Total DFT energy (no corrections): -22.05 eV/cell
- Calculated volume: 150.2 Å³/f.u.

***

# 4
Entry from Alexandria: crystalline DyTm2ScBi4 at its relaxed geometry (PBE-GGA).

The structure in POSCAR format:
```
DyTm2ScBi4
1.0
-0.321 4.394 0.153
-5.795 -0.250 -4.956
-2.720 -0.447 7.117
Dy Tm Sc Bi
1 2 1 4
Direct
0.000 0.000 0.000 Dy
0.500 0.000 0.500 Tm
0.000 0.500 0.500 Tm
0.500 0.500 0.000 Sc
0.500 0.256 0.248 Bi
0.500 0.744 0.752 Bi
0.000 0.258 0.756 Bi
0.000 0.742 0.244 Bi
```

Results
- Total DFT energy (no corrections): -41.50 eV/cell
- Calculated volume: 242.0 Å³/f.u.

***

# 5
Entry from Alexandria: crystalline Ho3Mg2Ga3 at its relaxed geometry (PBE-GGA).

The structure in POSCAR format:
```
Ho3Mg2Ga3
1.0
-3.607 -4.647 0.605
3.765 -3.792 -6.678
2.998 -1.298 7.904
Ho Mg Ga
6 4 6
Direct
0.750 0.272 0.000 Ho
0.750 0.728 0.728 Ho
0.750 0.000 0.272 Ho
0.250 0.728 0.000 Ho
0.250 0.272 0.272 Ho
0.250 0.000 0.728 Ho
0.000 0.333 0.667 Mg
0.500 0.667 0.333 Mg
0.000 0.667 0.333 Mg
0.500 0.333 0.667 Mg
0.750 0.621 0.000 Ga
0.750 0.379 0.379 Ga
0.750 0.000 0.621 Ga
0.250 0.379 0.000 Ga
0.250 0.621 0.621 Ga
0.250 0.000 0.379 Ga
```

Results
- Total DFT energy (no corrections): -58.42 eV/cell
- Calculated volume: 187.3 Å³/f.u.

***

# 6
Entry from Alexandria: crystalline Tl3PbCl at its relaxed geometry (PBE-GGA).

The structure in POSCAR format:
```
Tl3PbCl
1.0
-4.779 -3.898 -0.250
1.274 -1.182 -5.923
3.693 -4.638 1.720
Pb Tl Cl
1 3 1
Direct
0.000 0.000 0.000 Pb
0.000 0.500 0.000 Tl
0.000 0.000 0.500 Tl
0.500 0.000 0.000 Tl
0.500 0.500 0.500 Cl
```

Results
- Formation energy from raw total energies: 0.2 eV per formula unit
- Total DFT energy (no corrections): -12.48 eV/cell
- Calculated volume: 235.2 Å³/f.u.

***

# 7
Entry from Alexandria: crystalline Rb2CdBI6 at its relaxed geometry (PBE-GGA).

The structure in POSCAR format:
```
Rb2CdBI6
1.0
-2.935 -7.354 -1.510
1.655 -2.215 7.572
-5.865 -3.038 4.684
I B Rb Cd
6 1 2 1
Direct
0.263 0.263 0.474 I
0.737 0.737 0.526 I
0.266 0.266 0.000 I
0.734 0.734 0.000 I
0.734 0.266 0.000 I
0.266 0.734 0.000 I
0.500 0.500 0.000 B
0.750 0.250 0.500 Rb
0.250 0.750 0.500 Rb
0.000 0.000 0.000 Cd
```

Results
- Formation energy from raw total energies: -4.3 eV per formula unit
- Total DFT energy (no corrections): -23.17 eV/cell
- Calculated volume: 373.8 Å³/f.u.

***

# 8
Entry from Alexandria: crystalline Ba7Sn2O2 at its relaxed geometry (PBE-GGA).

The structure in POSCAR format:
```
Ba7Sn2O2
1.0
6.941 -0.395 -0.452
-0.928 8.889 -0.278
-0.928 -1.458 8.773
Ba Sn O
7 2 2
Direct
0.772 0.900 0.598 Ba
0.228 0.402 0.100 Ba
0.228 0.100 0.402 Ba
0.772 0.598 0.900 Ba
0.500 0.000 0.000 Ba
0.261 0.625 0.625 Ba
0.739 0.375 0.375 Ba
0.000 0.287 0.713 Sn
0.000 0.713 0.287 Sn
0.419 0.213 0.213 O
0.581 0.787 0.787 O
```

Results
- Formation energy from raw total energies: -11.7 eV per formula unit
- Total DFT energy (no corrections): -43.10 eV/cell
- Calculated volume: 530.9 Å³/f.u.

***

# 9
Entry from Alexandria: crystalline Y3In2Pd2 at its relaxed geometry (PBE-GGA).

The structure in POSCAR format:
```
Y3In2Pd2
1.0
-1.940 -1.631 3.065
-2.521 -1.438 -2.361
5.332 -10.206 0.526
Y In Pd
3 2 2
Direct
0.831 0.000 0.339 Y
0.000 0.000 0.000 Y
0.169 0.000 0.661 Y
0.583 0.500 0.834 In
0.417 0.500 0.166 In
0.709 0.500 0.582 Pd
0.291 0.500 0.418 Pd
```

Results
- Total DFT energy (no corrections): -40.32 eV/cell
- Calculated volume: 169.0 Å³/f.u.

***

# 10
Entry from Alexandria: crystalline NaCaFe2 at its relaxed geometry (PBE-GGA).

The structure in POSCAR format:
```
NaCaFe2
1.0
-3.100 -7.146 -1.300
5.367 -1.301 -5.645
2.780 -5.266 -1.667
Na Ca Fe
2 2 4
Direct
0.500 0.500 0.000 Na
0.250 0.750 0.500 Na
0.000 0.000 0.000 Ca
0.750 0.250 0.500 Ca
0.615 0.125 0.250 Fe
0.135 0.625 0.250 Fe
0.375 0.385 0.750 Fe
0.875 0.865 0.750 Fe
```

Results
- Total DFT energy (no corrections): -32.52 eV/cell
- Calculated volume: 82.8 Å³/f.u.

***

# 11
Entry from Alexandria: crystalline Pm12PrNd6 at its relaxed geometry (PBE-GGA).

The structure in POSCAR format:
```
Pm12PrNd6
1.0
8.559 0.000 2.744
-4.260 7.984 3.475
0.038 0.000 9.694
Pm Pr Nd
12 1 6
Direct
0.526 0.842 0.263 Pm
0.684 0.895 0.842 Pm
0.789 0.263 0.895 Pm
0.474 0.158 0.737 Pm
0.316 0.105 0.158 Pm
0.211 0.737 0.105 Pm
0.263 0.421 0.631 Pm
0.105 0.369 0.053 Pm
0.158 0.053 0.579 Pm
0.737 0.579 0.369 Pm
0.895 0.631 0.947 Pm
0.842 0.947 0.421 Pm
0.000 0.000 0.000 Pr
0.421 0.474 0.210 Nd
0.053 0.685 0.526 Nd
0.369 0.790 0.685 Nd
0.579 0.526 0.790 Nd
0.947 0.315 0.474 Nd
0.631 0.210 0.315 Nd
```

Results
- Total DFT energy (no corrections): -90.16 eV/cell
- Calculated volume: 661.6 Å³/f.u.

***

# 12
Entry from Alexandria: crystalline ZnGaAu4 at its relaxed geometry (PBE-GGA).

The structure in POSCAR format:
```
ZnGaAu4
1.0
0.292 1.693 -2.708
1.945 -6.025 -3.558
-9.026 -2.526 -0.655
Zn Ga Au
2 2 8
Direct
0.809 0.846 0.617 Zn
0.191 0.346 0.383 Zn
0.562 0.936 0.125 Ga
0.438 0.436 0.875 Ga
0.958 0.139 0.917 Au
0.042 0.639 0.083 Au
0.425 0.811 0.849 Au
0.575 0.311 0.151 Au
0.677 0.654 0.353 Au
0.323 0.154 0.647 Au
0.693 0.048 0.387 Au
0.307 0.548 0.613 Au
```

Results
- Total DFT energy (no corrections): -36.46 eV/cell
- Calculated volume: 107.8 Å³/f.u.